No. 1
Compound: Li6SbS2
Source: Alexandria
Functional: PBE-GGA
Structure: optimized geometry

Cell lengths 5.9157, 5.9226, 18.9695 Å; angles 72.58, 90.00, 90.00 degrees
Closest atoms and distances in Å follow each position.
Fractional coordinates of all 36 atoms:
Li 0.7275 0.5541 0.4719  2 S 2.45
Li 0.3711 0.0901 0.6768  3 S 2.39-2.49
Sb 0.6298 0.0778 0.9319  8 Li 2.76-3.08, 1 Sb 2.91
Sb 0.1298 0.9222 0.5681  8 Li 2.76-3.08, 1 Sb 2.91
Li 0.6327 0.5664 0.1675  3 S 2.39-2.57
S 0.6201 0.3809 0.6016  7 Li 2.39-2.45
Li 0.6221 0.4475 0.3269  3 S 2.40-2.53
S 0.1201 0.6191 0.8984  7 Li 2.39-2.45
Li 0.8770 0.0890 0.6721  3 S 2.39-2.58
Li 0.6240 0.0351 0.5586  1 S 2.42
S 0.3852 0.2479 0.2548  8 Li 2.49-2.58
S 0.6148 0.7521 0.7452  8 Li 2.49-2.58
Li 0.3760 0.9649 0.4414  1 S 2.42
Li 0.3770 0.9110 0.8279  3 S 2.39-2.58
Li 0.8760 0.0351 0.0586  1 S 2.42
Li 0.1230 0.9110 0.3279  3 S 2.39-2.58
Li 0.7725 0.5541 0.9719  2 S 2.45
S 0.8852 0.7521 0.2452  8 Li 2.49-2.58
Li 0.2725 0.4459 0.5281  2 S 2.45
Sb 0.8702 0.0778 0.4319  8 Li 2.76-3.08, 1 Sb 2.91
Li 0.3673 0.4336 0.8325  3 S 2.39-2.57
Li 0.1221 0.5525 0.1731  3 S 2.40-2.53
S 0.3799 0.6191 0.3984  7 Li 2.39-2.45
Li 0.8711 0.9099 0.8232  3 S 2.39-2.49
Li 0.1327 0.4336 0.3325  3 S 2.39-2.57
Li 0.1289 0.0901 0.1768  3 S 2.39-2.49
S 0.1148 0.2479 0.7548  8 Li 2.49-2.58
Li 0.8673 0.5664 0.6675  3 S 2.39-2.57
Sb 0.3702 0.9222 0.0681  8 Li 2.76-3.08, 1 Sb 2.91
Li 0.1240 0.9649 0.9414  1 S 2.42
Li 0.6289 0.9099 0.3232  3 S 2.39-2.49
Li 0.8779 0.4475 0.8269  3 S 2.40-2.53
S 0.8799 0.3809 0.1016  7 Li 2.39-2.45
Li 0.3779 0.5525 0.6731  3 S 2.40-2.53
Li 0.6230 0.0890 0.1721  3 S 2.39-2.58
Li 0.2275 0.4459 0.0281  2 S 2.45

Values from the calculation:
Its energy above the most stable polymorph in this dataset is 0.0162 eV per atom. As for the total energy: -131.467 eV per cell.

=====

No. 2
Compound: CsMnPbCl6
Source: Alexandria
Functional: PBE-GGA
Structure: optimized geometry

Cell lengths 7.2238, 7.0942, 7.4624 Å; angles 88.98, 88.00, 59.46 degrees
Closest atoms and distances in Å follow each position.
Fractional coordinates of all 9 atoms:
Mn 0.3345 0.3314 0.5000  4 Cl 2.29-2.32
Cl 0.6162 0.3529 0.7113  1 Mn 2.68, 1 Pb 2.75
Cl 0.0578 0.5975 0.6786  1 Mn 2.32
Cs 0.0039 0.9920 0.0009  6 Cl 3.46-3.58
Cl 0.0291 0.3563 0.2879  1 Mn 2.69, 1 Pb 2.75
Cl 0.3386 0.0680 0.6840  1 Mn 2.29
Cl 0.3471 0.5966 0.3212  1 Mn 2.32
Cl 0.5914 0.0672 0.3152  1 Mn 2.29
Pb 0.6811 0.6382 0.5008  4 Cl 2.75-2.95

Values from the calculation:
As for the total energy: -36.288 eV per cell.